## La2SmPaP4 (PBE)

Data for a relaxed structure of La2SmPaP4.

Magnetic moment ... 0.00 μB per formula unit
Space group ... P2/m, No. 10
Energy relative to the elements ... -1.5139 eV/atom
Uncorrected energy ... -7.23 eV per atom

Cell lengths 4.139, 7.145, 7.210 Å; angles 109.33, 90.00, 90.00 degrees
Sites, in units of the cell vectors:
Pa1 0.500 0.500 0.000
La1 0.500 0.000 0.500
P1 0.500 0.255 0.234
La2 0.000 0.500 0.500
P2 0.500 0.745 0.766
Sm1 0.000 0.000 0.000
P3 0.000 0.736 0.230
P4 0.000 0.264 0.770


## La3Sm2PaP6 (PBE)

Data for a relaxed structure of La3Sm2PaP6.

Magnetic moment ... 0.00 μB per formula unit
Space group ... C2/m, No. 12
Energy relative to the elements ... -1.5486 eV/atom
Uncorrected energy ... -7.06 eV per atom

Cell lengths 7.185, 7.185, 7.227 Å; angles 99.53, 99.53, 119.99 degrees
Sites, in units of the cell vectors:
P1 0.400 0.078 0.235
La1 0.500 0.500 0.500
Sm1 0.666 0.334 0.000
La2 0.831 0.169 0.500
Sm2 0.334 0.666 0.000
Pa1 0.000 0.000 0.000
P2 0.243 0.243 0.764
P3 0.922 0.600 0.765
P4 0.757 0.757 0.236
La3 0.169 0.831 0.500
P5 0.600 0.922 0.765
P6 0.078 0.400 0.235


## Sr2LaPaP4 (PBE)

Data for a relaxed structure of Sr2LaPaP4.

Magnetic moment ... 0.00 μB per formula unit
Space group ... P2/m, No. 10
Energy relative to the elements ... -1.3044 eV/atom
Uncorrected energy ... -6.23 eV per atom

Cell lengths 4.250, 7.356, 7.381 Å; angles 109.29, 90.00, 90.00 degrees
Sites, in units of the cell vectors:
P1 0.500 0.262 0.221
La1 0.000 0.000 0.000
P2 0.500 0.738 0.779
Sr1 0.500 0.000 0.500
Pa1 0.500 0.500 0.000
P3 0.000 0.277 0.784
P4 0.000 0.723 0.216
Sr2 0.000 0.500 0.500


## La3Tb2PaP6 (PBE)

Data for a relaxed structure of La3Tb2PaP6.

Magnetic moment ... 0.00 μB per formula unit
Space group ... C2/m, No. 12
Energy relative to the elements ... -1.5574 eV/atom
Uncorrected energy ... -7.06 eV per atom

Cell lengths 7.132, 7.132, 7.193 Å; angles 99.50, 99.50, 119.99 degrees
Sites, in units of the cell vectors:
La1 0.500 0.500 0.500
P1 0.077 0.403 0.232
La2 0.831 0.169 0.500
P2 0.247 0.247 0.768
Pa1 0.000 0.000 0.000
Tb1 0.666 0.334 0.000
La3 0.169 0.831 0.500
P3 0.597 0.923 0.768
P4 0.403 0.077 0.232
Tb2 0.334 0.666 0.000
P5 0.923 0.597 0.768
P6 0.753 0.753 0.232


## La4TbPa3P8 (PBE)

Data for a relaxed structure of La4TbPa3P8.

Magnetic moment ... 0.00 μB per formula unit
Space group ... R-3m, No. 166
Energy relative to the elements ... -1.4792 eV/atom
Uncorrected energy ... -7.49 eV per atom

Cell lengths 8.197, 8.263, 8.196 Å; angles 119.73, 120.00, 90.00 degrees
Sites, in units of the cell vectors:
P1 0.258 0.273 0.515
P2 0.755 0.272 0.017
Pa1 0.000 0.500 0.500
Pa2 0.500 0.500 0.000
P3 0.245 0.728 0.983
Tb1 0.000 0.500 0.000
P4 0.738 0.728 0.983
P5 0.755 0.272 0.509
La1 0.500 0.000 0.500
P6 0.742 0.727 0.485
P7 0.245 0.728 0.491
La2 0.000 0.000 0.500
P8 0.262 0.272 0.017
Pa3 0.500 0.500 0.500
La3 0.500 0.000 0.000
La4 0.000 0.000 0.000


## La2TbPaP4 (PBE)

Data for a relaxed structure of La2TbPaP4.

Magnetic moment ... 0.00 μB per formula unit
Space group ... P2/m, No. 10
Energy relative to the elements ... -1.5229 eV/atom
Uncorrected energy ... -7.23 eV per atom

Cell lengths 4.121, 7.098, 7.190 Å; angles 109.33, 90.00, 90.00 degrees
Sites, in units of the cell vectors:
P1 0.000 0.738 0.229
P2 0.000 0.262 0.771
P3 0.500 0.251 0.231
La1 0.000 0.500 0.500
La2 0.500 0.000 0.500
Tb1 0.000 0.000 0.000
P4 0.500 0.749 0.769
Pa1 0.500 0.500 0.000


## LaPaTeP (PBE)

Data for a relaxed structure of LaPaTeP.

Magnetic moment ... 0.92 μB per formula unit
Space group ... R3m, No. 160
ΔE_f (raw) ... -1267 meV per atom
Uncorrected energy ... -7.01 eV per atom

Cell lengths 4.124, 4.124, 7.964 Å; angles 90.00, 105.01, 120.00 degrees
Sites, in units of the cell vectors:
P1 0.314 0.555 0.884
Pa1 0.109 0.953 0.077
La1 0.497 0.146 0.659
Te1 0.958 0.377 0.350


## LaTh2PaP4 (PBE)

Data for a relaxed structure of LaTh2PaP4.

Magnetic moment ... 0.54 μB per formula unit
Space group ... I-4m2, No. 119
Energy relative to the elements ... -1.4705 eV/atom
Uncorrected energy ... -7.83 eV per atom

Cell lengths 5.835, 5.835, 7.146 Å; angles 114.10, 114.10, 90.00 degrees
Sites, in units of the cell vectors:
Th1 0.000 0.000 0.000
P1 0.507 0.007 0.014
Pa1 0.750 0.250 0.500
P2 0.993 0.493 0.986
Th2 0.250 0.750 0.500
La1 0.500 0.500 0.000
P3 0.248 0.248 0.496
P4 0.752 0.752 0.504